{"formula": "ScCuOs2", "functional": "PBE", "state": "optimized geometry", "n_ef_per_ev_cell": 2.2, "total_energy_ev_per_atom": -8.1714, "ef_kj_per_mol_fu": 19, "relative_energy_mev_per_atom": 76, "lattice_angstrom": [[-3.247, -3.655, -0.180], [-1.264, -4.187, -2.192], [1.934, -3.185, 2.749]], "species": ["Cu", "Os", "Os", "Sc"], "frac_coords": [[0.259, 0.259, 0.265], [0.000, 0.000, 0.964], [0.740, 0.740, 0.798], [0.501, 0.501, 0.473]]}

{"formula": "HoNi3As2", "functional": "PBE", "state": "optimized geometry", "n_ef_per_ev_cell": 11.1, "total_energy_ev_per_atom": -5.9185, "ef_kj_per_mol_fu": -414, "lattice_angstrom": [[-3.688, -0.996, 0.478], [1.325, -1.203, -7.788], [2.693, -7.890, 4.333]], "species": ["Ho", "Ho", "Ho", "As", "As", "As", "As", "As", "As", "Ni", "Ni", "Ni", "Ni", "Ni", "Ni", "Ni", "Ni", "Ni"], "frac_coords": [[0.000, 0.000, 0.000], [0.845, 0.690, 0.299], [0.155, 0.310, 0.701], [0.535, 0.069, 0.784], [0.359, 0.718, 0.543], [0.465, 0.931, 0.216], [0.641, 0.282, 0.457], [0.800, 0.601, 0.871], [0.200, 0.399, 0.129], [0.784, 0.569, 0.612], [0.955, 0.910, 0.658], [0.216, 0.431, 0.388], [0.045, 0.090, 0.342], [0.675, 0.350, 0.968], [0.500, 0.000, 0.500], [0.625, 0.249, 0.203], [0.325, 0.650, 0.032], [0.375, 0.751, 0.797]]}

{"formula": "LaPmDyTl", "functional": "PBE", "state": "optimized geometry", "n_ef_per_ev_cell": 7.6, "total_energy_ev_per_atom": -4.1883, "ef_kj_per_mol_fu": -10, "relative_energy_mev_per_atom": 26, "lattice_angstrom": [[5.547, 0.000, 0.000], [0.000, 5.547, 0.000], [-2.773, -2.773, 3.924]], "species": ["Dy", "Pm", "La", "Tl"], "frac_coords": [[0.000, 0.000, 0.000], [0.500, 0.500, 0.000], [0.250, 0.750, 0.500], [0.750, 0.250, 0.500]]}

{"formula": "TbPaS4", "functional": "PBE", "state": "optimized geometry", "n_ef_per_ev_cell": 0.0, "total_energy_ev_per_atom": -6.8630, "formation_energy_uncorrected_ev_per_atom": -1.76, "relative_energy_mev_per_atom": 0, "lattice_angstrom": [[-3.155, -1.854, -1.810], [4.304, -2.859, -4.573], [-0.598, -4.284, 5.431]], "species": ["S", "S", "S", "S", "Tb", "Pa"], "frac_coords": [[0.500, 0.289, 0.280], [0.000, 0.291, 0.755], [0.500, 0.711, 0.720], [0.000, 0.709, 0.245], [0.500, 0.500, 0.000], [0.000, 0.500, 0.500]]}

{"formula": "PtRhBr2", "functional": "PBE", "state": "optimized geometry", "n_ef_per_ev_cell": 3.5, "total_energy_ev_per_atom": -3.9894, "formation_energy_uncorrected_ev_per_atom": 0.20, "relative_energy_mev_per_atom": 228, "lattice_angstrom": [[6.752, 0.084, -0.128], [5.821, 3.423, -0.128], [0.719, 0.200, 4.416]], "species": ["Br", "Br", "Pt", "Rh"], "frac_coords": [[0.609, 0.609, 0.452], [0.891, 0.891, 0.048], [0.750, 0.750, 0.750], [0.250, 0.250, 0.250]]}

{"formula": "InClF", "functional": "PBE", "state": "optimized geometry", "n_ef_per_ev_cell": 2.4, "total_energy_ev_per_atom": -3.5227, "formation_energy_uncorrected_ev_per_atom": -1.37, "lattice_angstrom": [[3.896, 0.000, 0.000], [-1.948, 3.374, 0.000], [0.000, 0.000, 5.470]], "species": ["F", "In", "Cl"], "frac_coords": [[0.333, 0.667, 0.523], [0.667, 0.333, 0.391], [0.000, 0.000, 0.086]]}

{"formula": "LiInCu2", "functional": "PBE", "state": "optimized geometry", "n_ef_per_ev_cell": 1.1, "total_energy_ev_per_atom": -3.2391, "ef_kj_per_mol_fu": -11, "lattice_angstrom": [[-4.253, -0.333, -0.183], [0.185, -2.791, 0.779], [-0.228, 0.019, 5.251]], "species": ["Li", "Cu", "Cu", "In"], "frac_coords": [[0.500, 0.786, 0.795], [0.000, 0.185, 0.991], [0.500, 0.070, 0.247], [0.000, 0.459, 0.467]]}

{"formula": "K2YGeTe", "functional": "PBE", "state": "optimized geometry", "n_ef_per_ev_cell": 1.4, "total_energy_ev_per_atom": -3.2445, "formation_energy_uncorrected_ev_per_atom": 0.04, "lattice_angstrom": [[-5.472, 0.551, -2.976], [0.866, -5.172, -2.550], [-2.881, -2.835, 4.771]], "species": ["Y", "K", "K", "Te", "Ge"], "frac_coords": [[0.000, 0.500, 0.000], [0.000, 0.000, 0.500], [0.500, 0.000, 0.000], [0.000, 0.000, 0.000], [0.500, 0.500, 0.500]]}

{"formula": "KBa2Zr", "functional": "PBE", "state": "optimized geometry", "n_ef_per_ev_cell": 5.4, "total_energy_ev_per_atom": -2.6538, "ef_kj_per_mol_fu": 277, "relative_energy_mev_per_atom": 263, "lattice_angstrom": [[-4.322, -5.905, 2.704], [3.684, -6.735, 1.389], [-1.121, 7.561, 1.561]], "species": ["Ba", "Ba", "K", "Zr"], "frac_coords": [[0.030, 0.030, 0.000], [0.470, 0.470, 0.000], [0.750, 0.250, 0.500], [0.250, 0.750, 0.500]]}

{"formula": "Y3B2IrPt9", "functional": "PBE", "state": "optimized geometry", "n_ef_per_ev_cell": 7.8, "total_energy_ev_per_atom": -7.1292, "ef_kj_per_mol_fu": -1058, "lattice_angstrom": [[5.689, 0.000, 0.000], [-2.845, 4.927, 0.000], [0.000, 0.000, 9.502]], "species": ["Pt", "Pt", "Pt", "Pt", "Pt", "Pt", "Pt", "Pt", "Pt", "Y", "Y", "Y", "Ir", "B", "B"], "frac_coords": [[0.838, 0.162, 0.724], [0.000, 0.500, 0.000], [0.162, 0.838, 0.276], [0.162, 0.323, 0.276], [0.838, 0.677, 0.724], [0.323, 0.162, 0.724], [0.500, 0.500, 0.000], [0.500, 0.000, 0.000], [0.677, 0.838, 0.276], [0.333, 0.667, 0.592], [0.667, 0.333, 0.408], [0.000, 0.000, 0.000], [0.000, 0.000, 0.500], [0.667, 0.333, 0.854], [0.333, 0.667, 0.146]]}

{"formula": "BaErTl6", "functional": "PBE", "state": "optimized geometry", "n_ef_per_ev_cell": 3.9, "total_energy_ev_per_atom": -2.8033, "ef_kj_per_mol_fu": -168, "lattice_angstrom": [[-2.315, -3.628, 2.455], [-0.787, -2.387, -4.270], [8.554, -4.735, 1.069]], "species": ["Tl", "Tl", "Tl", "Tl", "Tl", "Tl", "Er", "Ba"], "frac_coords": [[0.000, 0.500, 0.733], [0.500, 0.000, 0.267], [0.500, 0.500, 0.500], [0.500, 0.000, 0.733], [0.000, 0.500, 0.267], [0.500, 0.500, 0.000], [0.000, 0.000, 0.500], [0.000, 0.000, 0.000]]}

{"formula": "SmThRh", "functional": "PBE", "state": "optimized geometry", "n_ef_per_ev_cell": 2.1, "total_energy_ev_per_atom": -6.8074, "ef_kj_per_mol_fu": -90, "relative_energy_mev_per_atom": 284, "lattice_angstrom": [[-3.832, -0.574, -2.016], [-2.056, -0.693, 4.107], [0.284, 4.289, -1.761]], "species": ["Sm", "Th", "Rh"], "frac_coords": [[0.690, 0.667, 0.333], [0.220, 0.333, 0.667], [0.091, 0.000, 0.000]]}